[1]
# AcAl5Ag3 PBE relaxed
data_AcAl5Ag3
_chemical_formula_sum 'Ac4 Al20 Ag12'
_cell_length_a 4.202
_cell_length_b 13.261
_cell_length_c 13.341
_cell_angle_alpha 90.00
_cell_angle_beta 90.00
_cell_angle_gamma 90.00
_symmetry_space_group_name_H-M 'C m c m'
_symmetry_Int_Tables_number 63
_symmetry_space_group_name_Hall '-C 2c 2'
loop_
_atom_site_label
_atom_site_type_symbol
_atom_site_fract_x
_atom_site_fract_y
_atom_site_fract_z
Ac1 Ac 0.000 0.159 0.250
Al1 Al 0.000 0.000 0.000
Al2 Al 0.000 0.193 0.565
Al3 Al 0.000 0.444 0.149
Ag1 Ag 0.000 0.128 0.750
Ag2 Ag 0.000 0.385 0.549
# Magnetic moment (Bohr magnetons per cell): 0.00


[2]
# AcAlAg PBE relaxed
data_AcAlAg
_chemical_formula_sum 'Ac6 Al6 Ag6'
_cell_length_a 4.476
_cell_length_b 13.500
_cell_length_c 7.791
_cell_angle_alpha 90.00
_cell_angle_beta 90.00
_cell_angle_gamma 90.00
_symmetry_space_group_name_H-M 'A m m 2'
_symmetry_Int_Tables_number 38
loop_
_symmetry_equiv_pos_as_xyz
'x,y,z'
'-x,-y,z'
'-x,y,z'
'x,-y,z'
'x,y+1/2,z+1/2'
'-x,-y+1/2,z+1/2'
'-x,y+1/2,z+1/2'
'x,-y+1/2,z+1/2'
loop_
_atom_site_label
_atom_site_type_symbol
_atom_site_fract_x
_atom_site_fract_y
_atom_site_fract_z
Ac1 Ac 0.000 0.000 0.000
Ac2 Ac 0.000 0.209 0.628
Al1 Al 0.500 0.000 0.638
Al2 Al 0.500 0.110 0.309
Ag1 Ag 0.000 0.000 0.418
Ag2 Ag 0.500 0.167 0.920
# Magnetic moment (Bohr magnetons per cell): 0.00


[3]
# AcAl2Ag5 PBE relaxed
data_AcAl2Ag5
_chemical_formula_sum 'Ac2 Al4 Ag10'
_cell_length_a 4.289
_cell_length_b 7.568
_cell_length_c 10.498
_cell_angle_alpha 90.00
_cell_angle_beta 90.00
_cell_angle_gamma 90.00
_symmetry_space_group_name_H-M 'I m m m'
_symmetry_Int_Tables_number 71
_symmetry_space_group_name_Hall '-I 2 2'
loop_
_atom_site_label
_atom_site_type_symbol
_atom_site_fract_x
_atom_site_fract_y
_atom_site_fract_z
Ac1 Ac 0.000 0.000 0.000
Al1 Al 0.000 0.500 0.248
Ag1 Ag 0.000 0.188 0.354
Ag2 Ag 0.000 0.500 0.000
# Magnetic moment (Bohr magnetons per cell): 0.00


[4]
# Ac6AlAg PBE relaxed
data_Ac6AlAg
_chemical_formula_sum 'Ac12 Al2 Ag2'
_cell_length_a 5.647
_cell_length_b 5.647
_cell_length_c 19.176
_cell_angle_alpha 90.00
_cell_angle_beta 90.00
_cell_angle_gamma 90.00
_symmetry_space_group_name_H-M 'I 4/m m m'
_symmetry_Int_Tables_number 139
_symmetry_space_group_name_Hall '-I 4 2'
loop_
_atom_site_label
_atom_site_type_symbol
_atom_site_fract_x
_atom_site_fract_y
_atom_site_fract_z
Ac1 Ac 0.000 0.000 0.247
Ac2 Ac 0.000 0.500 0.102
Al1 Al 0.000 0.000 0.000
Ag1 Ag 0.000 0.000 0.500
# Magnetic moment (Bohr magnetons per cell): 0.00


[5]
# AcAl4Ag PBE relaxed
data_AcAl4Ag
_chemical_formula_sum 'Ac4 Al16 Ag4'
_cell_length_a 8.069
_cell_length_b 8.069
_cell_length_c 8.069
_cell_angle_alpha 90.00
_cell_angle_beta 90.00
_cell_angle_gamma 90.00
_symmetry_space_group_name_H-M 'F -4 3 m'
_symmetry_Int_Tables_number 216
_symmetry_space_group_name_Hall 'F -4 2 3'
loop_
_atom_site_label
_atom_site_type_symbol
_atom_site_fract_x
_atom_site_fract_y
_atom_site_fract_z
Ac1 Ac 0.000 0.000 0.000
Al1 Al 0.126 0.126 0.374
Ag1 Ag 0.250 0.250 0.750
# Magnetic moment (Bohr magnetons per cell): 0.00


[6]
# Ac3AlAg PBE relaxed
data_Ac3AlAg
_chemical_formula_sum 'Ac24 Al8 Ag8'
_cell_length_a 14.551
_cell_length_b 9.562
_cell_length_c 12.314
_cell_angle_alpha 90.00
_cell_angle_beta 120.67
_cell_angle_gamma 90.00
_symmetry_space_group_name_H-M 'C 1 2/c 1'
_symmetry_Int_Tables_number 15
loop_
_symmetry_equiv_pos_as_xyz
'x,y,z'
'-x,-y,-z'
'-x,y,-z+1/2'
'x,-y,z+1/2'
'x+1/2,y+1/2,z'
'-x+1/2,-y+1/2,-z'
'-x+1/2,y+1/2,-z+1/2'
'x+1/2,-y+1/2,z+1/2'
loop_
_atom_site_label
_atom_site_type_symbol
_atom_site_fract_x
_atom_site_fract_y
_atom_site_fract_z
Ac1 Ac 0.056 0.188 0.081
Ac2 Ac 0.137 0.344 0.790
Ac3 Ac 0.249 0.061 0.420
Al1 Al 0.212 0.118 0.662
Ag1 Ag 0.000 0.047 0.750
Ag2 Ag 0.000 0.500 0.000
# Magnetic moment (Bohr magnetons per cell): 0.00


[7]
# AcAl6Ag2 PBE relaxed
data_AcAl6Ag2
_chemical_formula_sum 'Ac2 Al12 Ag4'
_cell_length_a 4.372
_cell_length_b 7.506
_cell_length_c 12.044
_cell_angle_alpha 90.00
_cell_angle_beta 90.00
_cell_angle_gamma 90.00
_symmetry_space_group_name_H-M 'I m m m'
_symmetry_Int_Tables_number 71
_symmetry_space_group_name_Hall '-I 2 2'
loop_
_atom_site_label
_atom_site_type_symbol
_atom_site_fract_x
_atom_site_fract_y
_atom_site_fract_z
Ac1 Ac 0.000 0.000 0.000
Al1 Al 0.000 0.168 0.500
Al2 Al 0.000 0.313 0.302
Ag1 Ag 0.000 0.500 0.115
# Magnetic moment (Bohr magnetons per cell): 0.00


[8]
# Ac2Al7Ag PBE relaxed
data_Ac2Al7Ag
_chemical_formula_sum 'Ac2 Al7 Ag1'
_cell_length_a 4.506
_cell_length_b 4.506
_cell_length_c 11.057
_cell_angle_alpha 90.00
_cell_angle_beta 90.00
_cell_angle_gamma 90.00
_symmetry_space_group_name_H-M 'P -4 m 2'
_symmetry_Int_Tables_number 115
loop_
_symmetry_equiv_pos_as_xyz
'x,y,z'
'y,-x,-z'
'-x,-y,z'
'-y,x,-z'
'-x,y,z'
'-y,-x,-z'
'x,-y,z'
'y,x,-z'
loop_
_atom_site_label
_atom_site_type_symbol
_atom_site_fract_x
_atom_site_fract_y
_atom_site_fract_z
Ac1 Ac 0.000 0.500 0.250
Al1 Al 0.000 0.000 0.000
Al2 Al 0.000 0.000 0.500
Al3 Al 0.000 0.500 0.633
Al4 Al 0.000 0.500 0.870
Al5 Al 0.500 0.500 0.500
Ag1 Ag 0.500 0.500 0.000
# Magnetic moment (Bohr magnetons per cell): 0.00


[9]
# AcAl3Ag PBE relaxed
data_AcAl3Ag
_chemical_formula_sum 'Ac1 Al3 Ag1'
_cell_length_a 4.413
_cell_length_b 4.413
_cell_length_c 5.772
_cell_angle_alpha 90.00
_cell_angle_beta 90.00
_cell_angle_gamma 90.00
_symmetry_space_group_name_H-M 'P 4 m m'
_symmetry_Int_Tables_number 99
loop_
_symmetry_equiv_pos_as_xyz
'x,y,z'
'-y,x,z'
'-x,-y,z'
'y,-x,z'
'-x,y,z'
'y,x,z'
'x,-y,z'
'-y,-x,z'
loop_
_atom_site_label
_atom_site_type_symbol
_atom_site_fract_x
_atom_site_fract_y
_atom_site_fract_z
Ac1 Ac 0.000 0.000 0.000
Al1 Al 0.000 0.500 0.508
Al2 Al 0.500 0.500 0.784
Ag1 Ag 0.500 0.500 0.237
# Magnetic moment (Bohr magnetons per cell): 0.00


[10]
# AcAl2Ag2 PBE relaxed
data_AcAl2Ag2
_chemical_formula_sum 'Ac2 Al4 Ag4'
_cell_length_a 6.586
_cell_length_b 6.602
_cell_length_c 6.190
_cell_angle_alpha 90.00
_cell_angle_beta 121.72
_cell_angle_gamma 90.00
_symmetry_space_group_name_H-M 'C 1 2/m 1'
_symmetry_Int_Tables_number 12
loop_
_symmetry_equiv_pos_as_xyz
'x,y,z'
'-x,-y,-z'
'-x,y,-z'
'x,-y,z'
'x+1/2,y+1/2,z'
'-x+1/2,-y+1/2,-z'
'-x+1/2,y+1/2,-z'
'x+1/2,-y+1/2,z'
loop_
_atom_site_label
_atom_site_type_symbol
_atom_site_fract_x
_atom_site_fract_y
_atom_site_fract_z
Ac1 Ac 0.000 0.000 0.000
Al1 Al 0.124 0.500 0.247
Ag1 Ag 0.000 0.250 0.500
# Magnetic moment (Bohr magnetons per cell): 0.00


| no. | energy of formation (kJ per mole of atoms) | DFT total energy (eV per atom) | V (Å³/cell) |
| --- | --- | --- | --- |
| 1 | -19.3 | -3.686 | 743.4 |
| 2 | -30.0 | -3.878 | 470.8 |
| 3 | -17.2 | -3.410 | 340.8 |
| 4 | -10.4 | -4.014 | 611.6 |
| 5 | -7.0 | -3.727 | 525.3 |
| 6 | -5.6 | -3.842 | 1473.6 |
| 7 | -2.4 | -3.610 | 395.2 |
| 8 | -34.1 | -4.080 | 224.5 |
| 9 | -32.8 | -3.977 | 112.4 |
| 10 | -32.1 | -3.792 | 229.0 |